(i)
This record from Alexandria describes a relaxed structure of CrCo2MoH. The functional is GGA-PBE.

Properties
Fermi-level density of states in states/eV/f.u.: 3.11

Cell: 3.5876 3.5876 3.9033 Å, 90.00 90.00 90.00°
With the nearest neighbours (Å) after each atom.
Positions (direct):
Cr (0.0000, 0.0000, 0.0000)  4 Mo 2.54, 8 Co 2.65
Co (0.0000, 0.5000, 0.5000)  2 H 1.79
Co (0.5000, 0.0000, 0.5000)  2 H 1.79
Mo (0.5000, 0.5000, 0.0000)  2 H 1.95
H (0.5000, 0.5000, 0.5000)  4 Co 1.79, 2 Mo 1.95

(ii)
This record from Alexandria describes a relaxed structure of CrCo2MoH. The functional is GGA-PBE.

Properties
Fermi-level density of states in states/eV/f.u.: 2.53

Cell: 3.6072 3.6072 3.8142 Å, 90.00 90.00 90.00°
With the nearest neighbours (Å) after each atom.
Positions (direct):
Cr (0.0000, 0.0000, 0.0000)  2 H 1.91
Co (0.0000, 0.5000, 0.5000)  2 H 1.80
Co (0.5000, 0.0000, 0.5000)  2 H 1.80
Mo (0.5000, 0.5000, 0.0000)  4 Cr 2.55, 8 Co 2.62
H (0.0000, 0.0000, 0.5000)  4 Co 1.80, 2 Cr 1.91

Pick (ii): it beats the second-best structure by 0.048 eV/atom.

(i)
This record from Alexandria describes a relaxed structure of NbCrCo2H. The functional is GGA-PBE.

Properties
Fermi-level density of states in states/eV/f.u.: 3.43

Cell: 3.6164 3.6164 3.9223 Å, 90.00 90.00 90.00°
With the nearest neighbours (Å) after each atom.
Positions (direct):
Nb (0.0000, 0.0000, 0.0000)  2 H 1.96
Cr (0.5000, 0.5000, 0.0000)  4 Nb 2.56, 8 Co 2.67
Co (0.0000, 0.5000, 0.5000)  2 H 1.81
Co (0.5000, 0.0000, 0.5000)  2 H 1.81
H (0.0000, 0.0000, 0.5000)  4 Co 1.81, 2 Nb 1.96

(ii)
This record from Alexandria describes a relaxed structure of NbCrCo2H. The functional is GGA-PBE.

Properties
Fermi-level density of states in states/eV/f.u.: 3.64

Cell: 3.6713 3.6713 3.8328 Å, 90.00 90.00 90.00°
With the nearest neighbours (Å) after each atom.
Positions (direct):
Nb (0.0000, 0.0000, 0.0000)  4 Cr 2.60, 8 Co 2.65
Cr (0.5000, 0.5000, 0.0000)  2 H 1.92
Co (0.0000, 0.5000, 0.5000)  2 H 1.84
Co (0.5000, 0.0000, 0.5000)  2 H 1.84
H (0.5000, 0.5000, 0.5000)  4 Co 1.84, 2 Cr 1.92

Pick (ii): it beats the second-best structure by 0.053 eV/atom.

(i)
This record from Alexandria describes a relaxed structure of Nb2CrCoH. The functional is GGA-PBE.

Properties
Fermi-level density of states in states/eV/f.u.: 3.98

Cell: 4.3268 4.3268 3.3080 Å, 90.00 90.00 90.00°
With the nearest neighbours (Å) after each atom.
Positions (direct):
Nb (0.0000, 0.5000, 0.0000)  2 H 2.16
Nb (0.5000, 0.0000, 0.0000)  2 H 2.16
Cr (0.0000, 0.0000, 0.5000)  2 H 1.65
Co (0.5000, 0.5000, 0.5000)  8 Nb 2.72
H (0.0000, 0.0000, 0.0000)  2 Cr 1.65

(ii)
This record from Alexandria describes a relaxed structure of Nb2CrCoH. The functional is GGA-PBE.

Properties
Fermi-level density of states in states/eV/f.u.: 3.72

Cell: 4.2950 4.2950 3.2995 Å, 90.00 90.00 90.00°
With the nearest neighbours (Å) after each atom.
Positions (direct):
Nb (0.0000, 0.5000, 0.0000)  2 H 2.15
Nb (0.5000, 0.0000, 0.0000)  2 H 2.15
Cr (0.0000, 0.0000, 0.5000)  8 Nb 2.71
Co (0.5000, 0.5000, 0.5000)  2 H 1.65
H (0.5000, 0.5000, 0.0000)  2 Co 1.65

Pick (ii): it beats the second-best structure by 0.058 eV/atom.

(i)
This record from Alexandria describes a relaxed structure of Cr2CoNiH. The functional is GGA-PBE.

Properties
Fermi-level density of states in states/eV/f.u.: 5.60

Cell: 3.5877 3.5877 3.6196 Å, 90.00 90.00 90.00°
With the nearest neighbours (Å) after each atom.
Positions (direct):
Cr (0.0000, 0.5000, 0.0000)  2 H 1.79
Cr (0.5000, 0.0000, 0.0000)  2 H 1.79
Co (0.0000, 0.0000, 0.5000)  4 Ni 2.54, 8 Cr 2.55
Ni (0.5000, 0.5000, 0.5000)  2 H 1.81
H (0.5000, 0.5000, 0.0000)  4 Cr 1.79, 2 Ni 1.81

(ii)
This record from Alexandria describes a relaxed structure of Cr2CoNiH. The functional is GGA-PBE.

Properties
Fermi-level density of states in states/eV/f.u.: 4.63

Cell: 3.5895 3.5895 3.6140 Å, 90.00 90.00 90.00°
With the nearest neighbours (Å) after each atom.
Positions (direct):
Cr (0.0000, 0.5000, 0.0000)  2 H 1.79
Cr (0.5000, 0.0000, 0.0000)  2 H 1.79
Co (0.0000, 0.0000, 0.5000)  2 H 1.81
Ni (0.5000, 0.5000, 0.5000)  4 Co 2.54, 8 Cr 2.55
H (0.0000, 0.0000, 0.0000)  4 Cr 1.79, 2 Co 1.81

Pick (ii): it beats the second-best structure by 0.017 eV/atom.

(i)
This record from Alexandria describes a relaxed structure of CrCoNi2H. The functional is GGA-PBE.

Properties
Fermi-level density of states in states/eV/f.u.: 4.61

Cell: 3.5380 3.5380 3.7552 Å, 90.00 90.00 90.00°
With the nearest neighbours (Å) after each atom.
Positions (direct):
Cr (0.0000, 0.0000, 0.0000)  2 H 1.88
Co (0.5000, 0.5000, 0.0000)  4 Cr 2.50, 8 Ni 2.58
Ni (0.0000, 0.5000, 0.5000)  2 H 1.77
Ni (0.5000, 0.0000, 0.5000)  2 H 1.77
H (0.0000, 0.0000, 0.5000)  4 Ni 1.77, 2 Cr 1.88

(ii)
This record from Alexandria describes a relaxed structure of CrCoNi2H. The functional is GGA-PBE.

Properties
Fermi-level density of states in states/eV/f.u.: 4.23

Cell: 3.5956 3.5956 3.6247 Å, 90.00 90.00 90.00°
With the nearest neighbours (Å) after each atom.
Positions (direct):
Cr (0.0000, 0.0000, 0.0000)  4 Co 2.54, 8 Ni 2.55
Co (0.5000, 0.5000, 0.0000)  2 H 1.81
Ni (0.0000, 0.5000, 0.5000)  2 H 1.80
Ni (0.5000, 0.0000, 0.5000)  2 H 1.80
H (0.5000, 0.5000, 0.5000)  4 Ni 1.80, 2 Co 1.81

Pick (ii): it beats the second-best structure by 0.030 eV/atom.

(i)
This record from Alexandria describes a relaxed structure of CrCo2NiH. The functional is GGA-PBE.

Properties
Fermi-level density of states in states/eV/f.u.: 6.14

Cell: 3.6013 3.6013 3.5646 Å, 90.00 90.00 90.00°
With the nearest neighbours (Å) after each atom.
Positions (direct):
Cr (0.0000, 0.0000, 0.0000)  8 Co 2.53, 4 Ni 2.55
Co (0.0000, 0.5000, 0.5000)  2 H 1.80
Co (0.5000, 0.0000, 0.5000)  2 H 1.80
Ni (0.5000, 0.5000, 0.0000)  2 H 1.78
H (0.5000, 0.5000, 0.5000)  2 Ni 1.78, 4 Co 1.80

(ii)
This record from Alexandria describes a relaxed structure of CrCo2NiH. The functional is GGA-PBE.

Properties
Fermi-level density of states in states/eV/f.u.: 5.76

Cell: 3.5524 3.5524 3.6417 Å, 90.00 90.00 90.00°
With the nearest neighbours (Å) after each atom.
Positions (direct):
Cr (0.0000, 0.0000, 0.0000)  2 H 1.82
Co (0.0000, 0.5000, 0.5000)  2 H 1.78
Co (0.5000, 0.0000, 0.5000)  2 H 1.78
Ni (0.5000, 0.5000, 0.0000)  4 Cr 2.51, 8 Co 2.54
H (0.0000, 0.0000, 0.5000)  4 Co 1.78, 2 Cr 1.82

Pick (i): it beats the second-best structure by 0.012 eV/atom.

(i)
This record from Alexandria describes a relaxed structure of CrCo2HOs. The functional is GGA-PBE.

Properties
Fermi-level density of states in states/eV/f.u.: 4.69

Cell: 3.5887 3.5887 3.7800 Å, 90.00 90.00 90.00°
With the nearest neighbours (Å) after each atom.
Positions (direct):
Cr (0.0000, 0.0000, 0.0000)  2 H 1.89
Co (0.0000, 0.5000, 0.5000)  2 H 1.79
Co (0.5000, 0.0000, 0.5000)  2 H 1.79
H (0.0000, 0.0000, 0.5000)  4 Co 1.79, 2 Cr 1.89
Os (0.5000, 0.5000, 0.0000)  4 Cr 2.54, 8 Co 2.61

(ii)
This record from Alexandria describes a relaxed structure of CrCo2HOs. The functional is GGA-PBE.

Properties
Fermi-level density of states in states/eV/f.u.: 4.30

Cell: 3.6252 3.6252 3.7879 Å, 90.00 90.00 90.00°
With the nearest neighbours (Å) after each atom.
Positions (direct):
Cr (0.0000, 0.0000, 0.0000)  4 Os 2.56, 8 Co 2.62
Co (0.0000, 0.5000, 0.5000)  2 H 1.81
Co (0.5000, 0.0000, 0.5000)  2 H 1.81
H (0.5000, 0.5000, 0.5000)  4 Co 1.81, 2 Os 1.89
Os (0.5000, 0.5000, 0.0000)  2 H 1.89

Pick (i): it beats the second-best structure by 0.039 eV/atom.

(i)
This record from Alexandria describes a relaxed structure of Cr2CoHOs. The functional is GGA-PBE.

Properties
Fermi-level density of states in states/eV/f.u.: 4.55

Cell: 3.6766 3.6766 3.7379 Å, 90.00 90.00 90.00°
With the nearest neighbours (Å) after each atom.
Positions (direct):
Cr (0.0000, 0.5000, 0.0000)  2 H 1.84
Cr (0.5000, 0.0000, 0.0000)  2 H 1.84
Co (0.0000, 0.0000, 0.5000)  4 Os 2.60, 8 Cr 2.62
H (0.5000, 0.5000, 0.0000)  4 Cr 1.84, 2 Os 1.87
Os (0.5000, 0.5000, 0.5000)  2 H 1.87

(ii)
This record from Alexandria describes a relaxed structure of Cr2CoHOs. The functional is GGA-PBE.

Properties
Fermi-level density of states in states/eV/f.u.: 4.46

Cell: 3.7240 3.7240 3.5882 Å, 90.00 90.00 90.00°
With the nearest neighbours (Å) after each atom.
Positions (direct):
Cr (0.0000, 0.5000, 0.0000)  2 H 1.86
Cr (0.5000, 0.0000, 0.0000)  2 H 1.86
Co (0.0000, 0.0000, 0.5000)  2 H 1.79
H (0.0000, 0.0000, 0.0000)  2 Co 1.79, 4 Cr 1.86
Os (0.5000, 0.5000, 0.5000)  8 Cr 2.59, 4 Co 2.63

Pick (ii): it beats the second-best structure by 0.095 eV/atom.